First-principles (PBE) data for an optimized crystal structure of CaTcSe2, as listed in Alexandria via LeMat-Bulk.

Unit cell a=5.792 b=5.792 c=12.993 alpha=90.00 beta=90.00 gamma=90.00
Positions (direct):
Ca (0.000, 0.000, 0.000)
Ca (0.000, 0.500, 0.250)
Ca (0.500, 0.000, 0.750)
Ca (0.500, 0.500, 0.500)
Tc (0.000, 0.000, 0.500)
Tc (0.000, 0.500, 0.750)
Tc (0.500, 0.000, 0.250)
Tc (0.500, 0.500, 0.000)
Se (0.184, 0.250, 0.625)
Se (0.250, 0.684, 0.875)
Se (0.250, 0.816, 0.375)
Se (0.316, 0.250, 0.125)
Se (0.684, 0.750, 0.125)
Se (0.750, 0.184, 0.375)
Se (0.750, 0.316, 0.875)
Se (0.816, 0.750, 0.625)

Summary:
- formation energy without anion corrections (meV per atom) = -542.8
- offset from the most stable computed form (meV/atom) = 211.1
- magnetic moment (μB per cell) = 0.00

First-principles (PBE) data for an optimized crystal structure of MnZn3N4, as listed in Alexandria via LeMat-Bulk.

Unit cell a=6.366 b=5.552 c=5.272 alpha=90.00 beta=90.00 gamma=90.00
Positions (direct):
Mn (0.000, 0.173, 0.000)
Mn (0.500, 0.827, 0.500)
Zn (0.000, 0.843, 0.498)
Zn (0.248, 0.670, 0.995)
Zn (0.252, 0.330, 0.495)
Zn (0.500, 0.157, 0.998)
Zn (0.748, 0.330, 0.495)
Zn (0.752, 0.670, 0.995)
N (0.000, 0.176, 0.669)
N (0.000, 0.875, 0.111)
N (0.228, 0.322, 0.110)
N (0.272, 0.678, 0.610)
N (0.500, 0.125, 0.611)
N (0.500, 0.824, 0.169)
N (0.728, 0.678, 0.610)
N (0.772, 0.322, 0.110)

Summary:
- formation energy without anion corrections (meV per atom) = 21.8
- magnetic moment (μB per cell) = 2.01

First-principles (PBE) data for an optimized crystal structure of SbPbCl3, as listed in Alexandria via LeMat-Bulk.

Unit cell a=5.459 b=5.459 c=5.459 alpha=90.00 beta=90.00 gamma=90.00
Positions (direct):
Sb (0.000, 0.000, 0.000)
Pb (0.500, 0.500, 0.500)
Cl (0.000, 0.000, 0.500)
Cl (0.000, 0.500, 0.000)
Cl (0.500, 0.000, 0.000)

Summary:
- formation energy without anion corrections (meV per atom) = -256.9
- offset from the most stable computed form (meV/atom) = 27.4
- magnetic moment (μB per cell) = 1.09

Which of these has the lowest formation energy without anion corrections?
CaTcSe2

Among the records above, which one has the lowest formation energy without anion corrections?
CaTcSe2

Which value of magnetic moment does entry 2 give?
2.01 μB per cell